Entry from the Alexandria database: Ba5PrSb4 after structural relaxation (GGA-PBE).

Computed properties:
Its symmetry is C2/m. The electronic total energy comes out at -3.986 eV/atom.

The structure in extended XYZ format:
```
10
Lattice="11.085 -2.521 0.000 11.085 2.521 0.000 -3.803 0.000 8.369" Properties=species:S:1:pos:R:3 pbc="T T T"
Ba 0.000 0.000 0.000
Ba 7.073 0.000 0.719
Ba 5.186 0.000 4.860
Ba 13.181 0.000 3.509
Ba 11.294 0.000 7.650
Pr -1.902 0.000 4.184
Sb 1.537 0.000 5.754
Sb 10.078 0.000 2.224
Sb 8.289 0.000 6.145
Sb 16.830 0.000 2.615
```